(1)
An optimized crystal structure of Tl2NiIO8. Source: Alexandria via LeMat-Bulk, functional PBE+U.

abc: 4.917 5.036 6.490
angles: 89.59 89.52 86.10
Fractional coordinates of all 12 atoms:
Tl: 0.003 0.003 0.245
Tl: 0.997 0.997 0.755
Ni: 0.500 0.500 0.000
I: 0.500 0.500 0.500
O: 0.240 0.808 0.999
O: 0.250 0.816 0.500
O: 0.301 0.351 0.720
O: 0.306 0.355 0.277
O: 0.694 0.645 0.723
O: 0.699 0.649 0.280
O: 0.750 0.184 0.500
O: 0.760 0.192 0.001

Calculated values
The magnetization comes out at 1.0 μB/f.u. As for the crystal system: triclinic. The value obtained for the volume is 13.4 Å³/atom. The value obtained for the electronic total energy is -4.46 eV per atom. The space group is P-1, No. 2.

=====

(2)
An optimized crystal structure of TlNiIO2. Source: Alexandria via LeMat-Bulk, functional PBE+U.

abc: 4.094 4.094 6.997
angles: 90.00 90.00 90.00
Fractional coordinates of all 5 atoms:
Tl: 0.000 0.000 0.000
Ni: 0.500 0.500 0.500
I: 0.000 0.000 0.500
O: 0.000 0.500 0.000
O: 0.500 0.000 0.000

Calculated values
The magnetization comes out at 1.0 μB/f.u. As for the crystal system: tetragonal. The value obtained for the volume is 23.5 Å³/atom. The value obtained for the electronic total energy is -2.97 eV per atom. Its energy relative to the lowest polymorph listed for this composition is 0.196 eV/atom. The space group is P4/mmm, No. 123.

=====

no.,N(E_F) (states/eV/cell)
1,7.8
2,4.5